## Tb2Pd9Pb (PBE)

Data for crystalline Tb2Pd9Pb at its relaxed geometry.

a b c (Å): 4.1314 4.1314 12.3421
angles (deg): 90.00 90.00 90.00
Closest atoms and distances in Å follow each position.
Space group P4/mmm (No. 123)
Symmetry-distinct sites (fractional):
1 Tb 0.0000 0.0000 0.1667  12 Pd 2.92-2.93
2 Pd 0.0000 0.5000 0.0000  4 Tb 2.92, 8 Pd 2.92-2.93
3 Pd 0.0000 0.5000 0.3349  8 Pd 2.90-2.92, 2 Pb 2.90, 2 Tb 2.93
4 Pd 0.5000 0.5000 0.1688  8 Pd 2.91-2.93, 4 Tb 2.92
5 Pd 0.5000 0.5000 0.5000  8 Pd 2.90, 4 Pb 2.92
6 Pb 0.0000 0.0000 0.5000  12 Pd 2.90-2.92

Formation energy = -0.68 eV per atom
V = 17.56 A^3/atom
Uncorrected energy = -0.20769 hartree per atom